No. 1
Material: SmEuInSn
Method: DFT, PBE
State: optimized geometry

```
data_SmEuInSn
_chemical_formula_sum 'Sm4 Eu4 In4 Sn4'
_symmetry_space_group_name_H-M 'F -4 3 m'
_symmetry_Int_Tables_number 216
_symmetry_space_group_name_Hall 'F -4 2 3'
_cell_length_a 7.7489
_cell_length_b 7.7489
_cell_length_c 7.7489
_cell_angle_alpha 90.00
_cell_angle_beta 90.00
_cell_angle_gamma 90.00
loop_
_atom_site_label
_atom_site_fract_x
_atom_site_fract_y
_atom_site_fract_z
Sm1 0.0000 0.0000 0.0000
Eu1 0.0000 0.0000 0.5000
In1 0.2500 0.2500 0.2500
Sn1 0.2500 0.2500 0.7500
```

No. 2
Material: SmEuThIn
Method: DFT, PBE
State: optimized geometry

```
data_SmEuThIn
_chemical_formula_sum 'Sm4 Eu4 Th4 In4'
_symmetry_space_group_name_H-M 'F -4 3 m'
_symmetry_Int_Tables_number 216
_symmetry_space_group_name_Hall 'F -4 2 3'
_cell_length_a 7.8840
_cell_length_b 7.8840
_cell_length_c 7.8840
_cell_angle_alpha 90.00
_cell_angle_beta 90.00
_cell_angle_gamma 90.00
loop_
_atom_site_label
_atom_site_fract_x
_atom_site_fract_y
_atom_site_fract_z
Sm1 0.0000 0.0000 0.0000
Eu1 0.2500 0.2500 0.2500
Th1 0.0000 0.0000 0.5000
In1 0.2500 0.2500 0.7500
```

No. 3
Material: SmEuYIn
Method: DFT, PBE
State: optimized geometry

```
data_SmEuYIn
_chemical_formula_sum 'Sm4 Eu4 Y4 In4'
_symmetry_space_group_name_H-M 'F -4 3 m'
_symmetry_Int_Tables_number 216
_symmetry_space_group_name_Hall 'F -4 2 3'
_cell_length_a 7.8584
_cell_length_b 7.8584
_cell_length_c 7.8584
_cell_angle_alpha 90.00
_cell_angle_beta 90.00
_cell_angle_gamma 90.00
loop_
_atom_site_label
_atom_site_fract_x
_atom_site_fract_y
_atom_site_fract_z
Sm1 0.0000 0.0000 0.0000
Eu1 0.2500 0.2500 0.2500
Y1 0.0000 0.0000 0.5000
In1 0.2500 0.2500 0.7500
```

No. 4
Material: SmEuZnIn
Method: DFT, PBE
State: optimized geometry

```
data_SmEuZnIn
_chemical_formula_sum 'Sm4 Eu4 Zn4 In4'
_symmetry_space_group_name_H-M 'F -4 3 m'
_symmetry_Int_Tables_number 216
_symmetry_space_group_name_Hall 'F -4 2 3'
_cell_length_a 7.6136
_cell_length_b 7.6136
_cell_length_c 7.6136
_cell_angle_alpha 90.00
_cell_angle_beta 90.00
_cell_angle_gamma 90.00
loop_
_atom_site_label
_atom_site_fract_x
_atom_site_fract_y
_atom_site_fract_z
Sm1 0.0000 0.0000 0.0000
Eu1 0.0000 0.0000 0.5000
Zn1 0.2500 0.2500 0.7500
In1 0.2500 0.2500 0.2500
```

No. 5
Material: EuInSn4
Method: DFT, PBE
State: optimized geometry

```
data_EuInSn4
_chemical_formula_sum 'Eu4 In4 Sn16'
_symmetry_space_group_name_H-M 'F -4 3 m'
_symmetry_Int_Tables_number 216
_symmetry_space_group_name_Hall 'F -4 2 3'
_cell_length_a 8.8575
_cell_length_b 8.8575
_cell_length_c 8.8575
_cell_angle_alpha 90.00
_cell_angle_beta 90.00
_cell_angle_gamma 90.00
loop_
_atom_site_label
_atom_site_fract_x
_atom_site_fract_y
_atom_site_fract_z
Eu1 0.0000 0.0000 0.0000
In1 0.2500 0.2500 0.7500
Sn1 0.1248 0.1248 0.3752
```

No. 6
Material: Eu2InSn
Method: DFT, PBE
State: optimized geometry

```
data_Eu2InSn
_chemical_formula_sum 'Eu2 In1 Sn1'
_symmetry_space_group_name_H-M 'P 4/m m m'
_symmetry_Int_Tables_number 123
_symmetry_space_group_name_Hall '-P 4 2'
_cell_length_a 5.1961
_cell_length_b 5.1961
_cell_length_c 4.4538
_cell_angle_alpha 90.00
_cell_angle_beta 90.00
_cell_angle_gamma 90.00
loop_
_atom_site_label
_atom_site_fract_x
_atom_site_fract_y
_atom_site_fract_z
Eu1 0.0000 0.5000 0.0000
In1 0.0000 0.0000 0.5000
Sn1 0.5000 0.5000 0.5000
```

ΔH_f (0 K) values (in eV per atom) by entry order: -0.537; -0.034; -0.145; -0.359; -0.230; -0.563.
Total energy values (in eV per cell) by entry order: -95.53; -101.14; -99.11; -81.78; -121.62; -29.54.